Density functional theory data (GGA-PBE) for an optimized crystal structure of TaZn2Rh.

Calculated values
Volume: 61 Å³ per cell
DFT total energy: -5.58 eV/atom

abc: 2.7810 4.4075 5.1056
angles: 90.00 101.43 90.00
Space group P2/m (No. 10)
Unique sites:
Ta  0.0000  0.0000  0.0000 [1 per cell]
Zn  0.3425  0.5000  0.7393 [2 per cell]
Rh  0.5000  0.0000  0.5000 [1 per cell]

=====

Density functional theory data (GGA-PBE) for an optimized crystal structure of FeSnBr2.

Calculated values
Volume: 497 Å³ per cell
Distance to the lowest polymorph of the same formula: 352 meV per atom
Formation energy without anion corrections: 0.199 eV per atom

abc: 6.9661 6.9661 10.2354
angles: 90.00 90.00 90.00
Space group I-42d (No. 122)
Unique sites:
Fe  0.0000  0.0000  0.0000 [4 per cell]
Sn  0.0000  0.0000  0.5000 [4 per cell]
Br  0.1629  0.2500  0.1250 [8 per cell]

=====

Density functional theory data (GGA-PBE) for an optimized crystal structure of MnAlP4.

Calculated values
Volume: 363 Å³ per cell
DFT total energy: -5.19 eV/atom

abc: 7.1352 7.1352 7.1352
angles: 90.00 90.00 90.00
Space group F-43m (No. 216)
Unique sites:
Mn  0.0000  0.0000  0.0000 [4 per cell]
Al  0.2500  0.2500  0.2500 [4 per cell]
P  0.1257  0.1257  0.6257 [16 per cell]

=====

Density functional theory data (GGA-PBE) for an optimized crystal structure of Y2MgTiRu.

Calculated values
Volume: 136 Å³ per cell
DFT total energy: -5.00 eV/atom

abc: 5.3684 5.3684 4.7290
angles: 90.00 90.00 90.00
Space group P4/mmm (No. 123)
Unique sites:
Y  0.0000  0.5000  0.0000 [2 per cell]
Mg  0.0000  0.0000  0.0000 [1 per cell]
Ti  0.0000  0.0000  0.5000 [1 per cell]
Ru  0.5000  0.5000  0.5000 [1 per cell]